No. 1
Computed, not measured: a relaxed DyGa4IrPd2 crystal at the GGA-PBE level of DFT.

POSCAR file:
```
DyGa4IrPd2
1.0
2.1421 1.2367 8.6814
-2.1421 1.2367 8.6814
0.0000 -2.4735 8.6814
Dy Ga Ir Pd
1 4 1 2
direct
0.0000 0.0000 0.0000 Dy
0.1332 0.1332 0.1332 Ga
0.3978 0.3978 0.3978 Ga
0.6022 0.6022 0.6022 Ga
0.8668 0.8668 0.8668 Ga
0.5000 0.5000 0.5000 Ir
0.2395 0.2395 0.2395 Pd
0.7605 0.7605 0.7605 Pd
```

DFT formation energy (eV/atom): -0.589


No. 2
Computed, not measured: a relaxed PmDyGaIr crystal at the GGA-PBE level of DFT.

POSCAR file:
```
PmDyGaIr
1.0
7.1042 0.0000 0.0000
0.0000 7.1042 0.0000
0.0000 0.0000 7.1042
Pm Dy Ga Ir
4 4 4 4
direct
0.0000 0.0000 0.0000 Pm
0.0000 0.5000 0.5000 Pm
0.5000 0.0000 0.5000 Pm
0.5000 0.5000 0.0000 Pm
0.0000 0.0000 0.5000 Dy
0.0000 0.5000 0.0000 Dy
0.5000 0.0000 0.0000 Dy
0.5000 0.5000 0.5000 Dy
0.2500 0.2500 0.2500 Ga
0.2500 0.7500 0.7500 Ga
0.7500 0.2500 0.7500 Ga
0.7500 0.7500 0.2500 Ga
0.2500 0.2500 0.7500 Ir
0.2500 0.7500 0.2500 Ir
0.7500 0.2500 0.2500 Ir
0.7500 0.7500 0.7500 Ir
```

DFT formation energy (eV/atom): -0.605
ΔE to the lowest computed polymorph (eV per formula unit): 0.38


No. 3
Computed, not measured: a relaxed PmDyGaIr crystal at the GGA-PBE level of DFT.

POSCAR file:
```
PmDyGaIr
1.0
4.2563 0.0000 0.0000
0.0000 4.0865 0.0000
0.0000 0.0000 10.8123
Pm Dy Ga Ir
2 2 2 2
direct
0.0000 0.0000 0.0000 Pm
0.0000 0.5000 0.5000 Pm
0.5000 0.0000 0.2824 Dy
0.5000 0.5000 0.7824 Dy
0.5000 0.0000 0.5782 Ga
0.5000 0.5000 0.0782 Ga
0.0000 0.0000 0.7194 Ir
0.0000 0.5000 0.2194 Ir
```

DFT formation energy (eV/atom): -0.700
ΔE to the lowest computed polymorph (eV per formula unit): 0.00


No. 4
Computed, not measured: a relaxed Pm2Dy2GaIr4 crystal at the GGA-PBE level of DFT.

POSCAR file:
```
Pm2Dy2GaIr4
1.0
-3.2922 3.2922 4.4885
3.2922 -3.2922 4.4885
3.2922 3.2922 -4.4885
Pm Dy Ga Ir
2 2 1 4
direct
0.1913 0.1913 0.0000 Pm
0.8087 0.8087 0.0000 Pm
0.2500 0.7500 0.5000 Dy
0.7500 0.2500 0.5000 Dy
0.5000 0.5000 0.0000 Ga
0.2403 0.2403 0.4806 Ir
0.2403 0.7597 0.0000 Ir
0.7597 0.2403 0.0000 Ir
0.7597 0.7597 0.5194 Ir
```

DFT formation energy (eV/atom): -0.321


- What is the DFT formation energy in the second record?
  -0.605 eV/atom


- Which of these has the highest DFT formation energy?
  Pm2Dy2GaIr4